A plane-wave DFT calculation with PBE-GGA was carried out for LiAgSeBr2 after structural relaxation.

The space group is P4/mmm (No. 123) and the conventional cell measures 5.4684, 5.4684 and 5.0880 Å, with angles of 90.00, 90.00 and 90.00 degrees. The asymmetric unit holds Li at (0.0000, 0.0000, 0.0000), Ag at (0.5000, 0.5000, 0.5000), Se at (0.5000, 0.5000, 0.0000) and Br at (0.0000, 0.5000, 0.5000).

The energy above the lowest structure with this stoichiometry comes out at 0.00 eV per formula unit. As for the calculated volume: 152 Å³/cell. The density of states at the Fermi level comes out at 0.97 states/eV per atom. For the uncorrected formation energy, the calculation gives -0.19 eV per atom.